# 1
The following is a DFT calculation (PBE-GGA) of an optimized crystal structure of YHgSbI2.

Results
E above lowest polymorph = 652 meV/atom
final energy = -2.58 eV/atom

Geometry as CIF:
```
data_YHgSbI2
_symmetry_space_group_name_H-M 'P 4/m m m'
_symmetry_Int_Tables_number 123
_symmetry_space_group_name_Hall '-P 4 2'
_cell_length_a 5.6966
_cell_length_b 5.6966
_cell_length_c 5.7297
_cell_angle_alpha 90.00
_cell_angle_beta 90.00
_cell_angle_gamma 90.00
loop_
_atom_site_label
_atom_site_fract_x
_atom_site_fract_y
_atom_site_fract_z
Y1 0.0000 0.0000 0.0000
Hg1 0.5000 0.5000 0.5000
Sb1 0.5000 0.5000 0.0000
I1 0.0000 0.5000 0.5000
```

# 2
The following is a DFT calculation (PBE-GGA) of an optimized crystal structure of YHgSbI2.

Results
E above lowest polymorph = 0 meV/atom
final energy = -3.23 eV/atom

Geometry as CIF:
```
data_YHgSbI2
_symmetry_space_group_name_H-M 'P 4/m m m'
_symmetry_Int_Tables_number 123
_symmetry_space_group_name_Hall '-P 4 2'
_cell_length_a 6.0284
_cell_length_b 6.0284
_cell_length_c 6.2192
_cell_angle_alpha 90.00
_cell_angle_beta 90.00
_cell_angle_gamma 90.00
loop_
_atom_site_label
_atom_site_fract_x
_atom_site_fract_y
_atom_site_fract_z
Y1 0.0000 0.0000 0.0000
Hg1 0.5000 0.5000 0.5000
Sb1 0.0000 0.0000 0.5000
I1 0.0000 0.5000 0.0000
```

# 3
The following is a DFT calculation (PBE-GGA) of an optimized crystal structure of ZrHgSb2I.

Results
E above lowest polymorph = 854 meV/atom
final energy = -2.82 eV/atom

Geometry as CIF:
```
data_ZrHgSb2I
_symmetry_space_group_name_H-M 'P 4/m m m'
_symmetry_Int_Tables_number 123
_symmetry_space_group_name_Hall '-P 4 2'
_cell_length_a 5.4177
_cell_length_b 5.4177
_cell_length_c 5.9070
_cell_angle_alpha 90.00
_cell_angle_beta 90.00
_cell_angle_gamma 90.00
loop_
_atom_site_label
_atom_site_fract_x
_atom_site_fract_y
_atom_site_fract_z
Zr1 0.0000 0.0000 0.0000
Hg1 0.5000 0.5000 0.5000
Sb1 0.0000 0.5000 0.5000
I1 0.5000 0.5000 0.0000
```

# 4
The following is a DFT calculation (PBE-GGA) of an optimized crystal structure of ZrHgSb2I.

Results
E above lowest polymorph = 0 meV/atom
final energy = -3.68 eV/atom

Geometry as CIF:
```
data_ZrHgSb2I
_symmetry_space_group_name_H-M 'P 4/m m m'
_symmetry_Int_Tables_number 123
_symmetry_space_group_name_Hall '-P 4 2'
_cell_length_a 5.6188
_cell_length_b 5.6188
_cell_length_c 5.7883
_cell_angle_alpha 90.00
_cell_angle_beta 90.00
_cell_angle_gamma 90.00
loop_
_atom_site_label
_atom_site_fract_x
_atom_site_fract_y
_atom_site_fract_z
Zr1 0.0000 0.0000 0.0000
Hg1 0.5000 0.5000 0.5000
Sb1 0.0000 0.5000 0.0000
I1 0.0000 0.0000 0.5000
```

# 5
The following is a DFT calculation (PBE-GGA) of an optimized crystal structure of Sc2HgI4.

Results
final energy = -3.67 eV/atom

Geometry as CIF:
```
data_Sc2HgI4
_symmetry_space_group_name_H-M 'C 1 2/m 1'
_symmetry_Int_Tables_number 12
_cell_length_a 21.7534
_cell_length_b 4.0275
_cell_length_c 7.0065
_cell_angle_alpha 90.00
_cell_angle_beta 103.79
_cell_angle_gamma 90.00
loop_
_symmetry_equiv_pos_as_xyz
'x,y,z'
'-x,-y,-z'
'-x,y,-z'
'x,-y,z'
'x+1/2,y+1/2,z'
'-x+1/2,-y+1/2,-z'
'-x+1/2,y+1/2,-z'
'x+1/2,-y+1/2,z'
loop_
_atom_site_label
_atom_site_fract_x
_atom_site_fract_y
_atom_site_fract_z
Sc1 0.2484 0.0000 0.2048
Hg1 0.0000 0.5000 0.5000
I1 0.1532 0.5000 0.0167
I2 0.1735 0.0000 0.5296
```

# 6
The following is a DFT calculation (PBE-GGA) of an optimized crystal structure of ScHgI2.

Results
E above lowest polymorph = 4 meV/atom
final energy = -3.24 eV/atom

Geometry as CIF:
```
data_ScHgI2
_symmetry_space_group_name_H-M 'R -3 m'
_symmetry_Int_Tables_number 166
_symmetry_space_group_name_Hall '-R 3 2"'
_cell_length_a 4.0112
_cell_length_b 4.0112
_cell_length_c 35.6087
_cell_angle_alpha 90.00
_cell_angle_beta 90.00
_cell_angle_gamma 120.00
loop_
_atom_site_label
_atom_site_fract_x
_atom_site_fract_y
_atom_site_fract_z
Sc1 0.0000 0.0000 0.0000
Hg1 0.0000 0.0000 0.5000
I1 0.0000 0.0000 0.3845
```

# 7
The following is a DFT calculation (PBE-GGA) of an optimized crystal structure of Sc3Hg2I8.

Results
final energy = -3.46 eV/atom

Geometry as CIF:
```
data_Sc3Hg2I8
_symmetry_space_group_name_H-M 'C 1 2/m 1'
_symmetry_Int_Tables_number 12
_cell_length_a 21.2220
_cell_length_b 8.3343
_cell_length_c 7.2345
_cell_angle_alpha 90.00
_cell_angle_beta 104.02
_cell_angle_gamma 90.00
loop_
_symmetry_equiv_pos_as_xyz
'x,y,z'
'-x,-y,-z'
'-x,y,-z'
'x,-y,z'
'x+1/2,y+1/2,z'
'-x+1/2,-y+1/2,-z'
'-x+1/2,y+1/2,-z'
'x+1/2,-y+1/2,z'
loop_
_atom_site_label
_atom_site_fract_x
_atom_site_fract_y
_atom_site_fract_z
Sc1 0.0000 0.0000 0.0000
Sc2 0.0000 0.2668 0.5000
Hg1 0.2490 0.5000 0.1279
I1 0.0806 0.2433 0.8860
I2 0.0824 0.0000 0.3920
I3 0.0879 0.5000 0.4119
```

# 8
The following is a DFT calculation (PBE-GGA) of an optimized crystal structure of ScHg3I9.

Results
final energy = -2.15 eV/atom

Geometry as CIF:
```
data_ScHg3I9
_symmetry_space_group_name_H-M 'C 1 c 1'
_symmetry_Int_Tables_number 9
_cell_length_a 20.1800
_cell_length_b 10.5730
_cell_length_c 14.5304
_cell_angle_alpha 90.00
_cell_angle_beta 128.79
_cell_angle_gamma 90.00
loop_
_symmetry_equiv_pos_as_xyz
'x,y,z'
'x,-y,z+1/2'
'x+1/2,y+1/2,z'
'x+1/2,-y+1/2,z+1/2'
loop_
_atom_site_label
_atom_site_fract_x
_atom_site_fract_y
_atom_site_fract_z
Sc1 0.0000 0.2318 0.0000
Hg1 0.1330 0.4351 0.8356
Hg2 0.2636 0.0661 0.7687
Hg3 0.3823 0.3845 0.6905
I1 0.0178 0.0804 0.1814
I2 0.1082 0.4416 0.1317
I3 0.1407 0.0567 0.0549
I4 0.2047 0.3514 0.4866
I5 0.2618 0.2429 0.9150
I6 0.3622 0.1326 0.4609
I7 0.3628 0.4281 0.3138
I8 0.4146 0.1460 0.8028
I9 0.4971 0.2009 0.2984
```

Here are the calculated energy relative to the elements, uncorrected numbers, same order: 21.15 -41.76 87.62 5.18 -90.36 -77.77 -96.45 -50.30 (kJ/mol of atoms).